Entry from the Alexandria database: crystalline GdNbAs2 at its relaxed geometry (PBE-GGA).

Cell lengths 3.900, 3.900, 6.856 Å; angles 73.47, 73.47, 60.00 degrees
Element x y z (fractional)
As 0.258 0.258 0.225
As 0.742 0.742 0.775
Nb 0.000 0.000 0.000
Gd 0.500 0.500 0.500

Results
- total energy (eV per atom) = -9.29
- symmetry = R-3m


Entry from the Alexandria database: crystalline NdGd2As at its relaxed geometry (PBE-GGA).

Cell lengths 3.755, 3.755, 8.038 Å; angles 90.00, 90.00, 90.00 degrees
Element x y z (fractional)
Gd 0.000 0.000 0.805
Gd 0.000 0.000 0.195
As 0.500 0.500 0.000
Nd 0.500 0.500 0.500

Results
- total energy (eV per atom) = -9.98
- symmetry = P4/mmm
- excess energy over the best structure of this formula in the dataset (kJ/mol of formula units) = 13


Entry from the Alexandria database: crystalline NdGd2As at its relaxed geometry (PBE-GGA).

Cell lengths 3.893, 3.893, 9.895 Å; angles 78.65, 78.65, 60.00 degrees
Element x y z (fractional)
Gd 0.272 0.272 0.184
Gd 0.728 0.728 0.816
Nd 0.500 0.500 0.500
As 0.000 0.000 0.000

Results
- total energy (eV per atom) = -10.01
- symmetry = R-3m
- excess energy over the best structure of this formula in the dataset (kJ/mol of formula units) = 0


Entry from the Alexandria database: crystalline Nd2GdAs at its relaxed geometry (PBE-GGA).

Cell lengths 3.883, 3.883, 7.745 Å; angles 90.00, 90.00, 90.00 degrees
Element x y z (fractional)
Gd 0.500 0.500 0.500
Nd 0.000 0.000 0.203
Nd 0.000 0.000 0.797
As 0.500 0.500 0.000

Results
- total energy (eV per atom) = -7.61
- symmetry = P4/mmm
- excess energy over the best structure of this formula in the dataset (kJ/mol of formula units) = 17


| no. | ΔH_f (0 K) (meV per atom) |
| --- | --- |
| 1 | -927.8 |
| 2 | -582.7 |
| 3 | -617.1 |
| 4 | -542.0 |